Record 1
Below is a relaxed structure of PrHoHgOs, with properties calculated at the GGA-PBE level.

The structure in extended XYZ format:
```
16
Lattice="7.226 0.000 0.000 0.000 7.226 0.000 0.000 0.000 7.226" Properties=species:S:1:pos:R:3 pbc="T T T"
Pr 0.000 0.000 0.000
Pr 0.000 3.613 3.613
Pr 3.613 0.000 3.613
Pr 3.613 3.613 0.000
Ho 0.000 0.000 3.613
Ho 0.000 3.613 0.000
Ho 3.613 0.000 0.000
Ho 3.613 3.613 3.613
Hg 1.807 1.807 5.420
Hg 1.807 5.420 1.807
Hg 5.420 1.807 1.807
Hg 5.420 5.420 5.420
Os 1.807 1.807 1.807
Os 1.807 5.420 5.420
Os 5.420 1.807 5.420
Os 5.420 5.420 1.807
```

## Properties
formation energy from the elements = -162 meV/atom
crystal system = cubic

Record 2
Below is a relaxed structure of Ho5Hg2OsRh2, with properties calculated at the GGA-PBE level.

The structure in extended XYZ format:
```
20
Lattice="11.520 0.000 0.000 0.000 11.520 0.000 0.000 0.000 3.508" Properties=species:S:1:pos:R:3 pbc="T T T"
Ho 0.000 5.760 0.000
Ho 0.850 2.208 0.000
Ho 2.208 10.669 0.000
Ho 3.552 4.909 0.000
Ho 4.909 7.968 0.000
Ho 5.760 0.000 0.000
Ho 6.610 3.552 0.000
Ho 7.968 6.610 0.000
Ho 9.311 0.850 0.000
Ho 10.669 9.311 0.000
Hg 2.018 7.778 1.754
Hg 3.741 2.018 1.754
Hg 7.778 9.501 1.754
Hg 9.501 3.741 1.754
Os 0.000 0.000 1.754
Os 5.760 5.760 1.754
Rh 1.519 4.241 1.754
Rh 4.241 10.001 1.754
Rh 7.278 1.519 1.754
Rh 10.001 7.278 1.754
```

## Properties
formation energy from the elements = -486 meV/atom
crystal system = tetragonal

Record 3
Below is a relaxed structure of HoScHgOs, with properties calculated at the GGA-PBE level.

The structure in extended XYZ format:
```
4
Lattice="3.361 0.000 0.000 0.000 3.361 0.000 0.000 0.000 7.365" Properties=species:S:1:pos:R:3 pbc="T T T"
Ho 0.000 0.000 0.000
Sc 0.000 0.000 4.166
Hg 1.681 1.681 2.234
Os 1.681 1.681 5.642
```

## Properties
formation energy from the elements = -439 meV/atom
crystal system = tetragonal
E above lowest polymorph = 0.0 meV per atom

Record 4
Below is a relaxed structure of HoScHgOs, with properties calculated at the GGA-PBE level.

The structure in extended XYZ format:
```
16
Lattice="6.891 0.000 0.000 0.000 6.891 0.000 0.000 0.000 6.891" Properties=species:S:1:pos:R:3 pbc="T T T"
Ho 0.000 0.000 0.000
Ho 0.000 3.446 3.446
Ho 3.446 0.000 3.446
Ho 3.446 3.446 0.000
Sc 0.000 0.000 3.446
Sc 0.000 3.446 0.000
Sc 3.446 0.000 0.000
Sc 3.446 3.446 3.446
Hg 1.723 1.723 5.168
Hg 1.723 5.168 1.723
Hg 5.168 1.723 1.723
Hg 5.168 5.168 5.168
Os 1.723 1.723 1.723
Os 1.723 5.168 5.168
Os 5.168 1.723 5.168
Os 5.168 5.168 1.723
```

## Properties
formation energy from the elements = -290 meV/atom
crystal system = cubic
E above lowest polymorph = 149.2 meV per atom

Record 5
Below is a relaxed structure of SmHoHgOs, with properties calculated at the GGA-PBE level.

The structure in extended XYZ format:
```
16
Lattice="7.151 0.000 0.000 0.000 7.151 0.000 0.000 0.000 7.151" Properties=species:S:1:pos:R:3 pbc="T T T"
Sm 0.000 0.000 0.000
Sm 0.000 3.576 3.576
Sm 3.576 0.000 3.576
Sm 3.576 3.576 0.000
Ho 0.000 0.000 3.576
Ho 0.000 3.576 0.000
Ho 3.576 0.000 0.000
Ho 3.576 3.576 3.576
Hg 1.788 1.788 1.788
Hg 1.788 5.363 5.363
Hg 5.363 1.788 5.363
Hg 5.363 5.363 1.788
Os 1.788 1.788 5.363
Os 1.788 5.363 1.788
Os 5.363 1.788 1.788
Os 5.363 5.363 5.363
```

## Properties
formation energy from the elements = -218 meV/atom
crystal system = cubic

Record 6
Below is a relaxed structure of HoThHgOs, with properties calculated at the GGA-PBE level.

The structure in extended XYZ format:
```
16
Lattice="7.245 0.000 0.000 0.000 7.245 0.000 0.000 0.000 7.245" Properties=species:S:1:pos:R:3 pbc="T T T"
Ho 0.000 0.000 0.000
Ho 0.000 3.622 3.622
Ho 3.622 0.000 3.622
Ho 3.622 3.622 0.000
Th 0.000 0.000 3.622
Th 0.000 3.622 0.000
Th 3.622 0.000 0.000
Th 3.622 3.622 3.622
Hg 1.811 1.811 5.433
Hg 1.811 5.433 1.811
Hg 5.433 1.811 1.811
Hg 5.433 5.433 5.433
Os 1.811 1.811 1.811
Os 1.811 5.433 5.433
Os 5.433 1.811 5.433
Os 5.433 5.433 1.811
```

## Properties
formation energy from the elements = -209 meV/atom
crystal system = cubic

Number 1: E_tot -5.38 eV per atom, density 12.3 g/cm3. Number 2: E_tot -5.43 eV per atom, density 11.6 g/cm3. Number 3: E_tot -6.05 eV per atom, density 12.0 g/cm3. Number 4: E_tot -5.90 eV per atom, density 12.2 g/cm3. Number 5: E_tot -5.43 eV per atom, density 12.8 g/cm3. Number 6: E_tot -6.09 eV per atom, density 13.8 g/cm3.